Entry 1:
A relaxed structure of RbMg2In8, computed with PBE-GGA.

Computed properties:
Energy above the lowest structure with this stoichiometry in kcal/mol of atoms: 0.00
Space-group type: No. 65
Density of states at the Fermi level in states/eV/f.u.: 3.004
ΔH_f (0 K) in kcal/mol of atoms: -0.3

Cell: 5.5211 5.5211 11.9578 Å, 90.00 90.00 105.81°
Fractional coordinates of all 11 atoms:
Rb 0.0000 0.0000 0.0000
Mg 0.0000 0.0000 0.3624
Mg 0.0000 0.0000 0.6376
In 0.0000 0.5000 0.2251
In 0.0000 0.5000 0.5000
In 0.0000 0.5000 0.7749
In 0.5000 0.0000 0.2251
In 0.5000 0.0000 0.5000
In 0.5000 0.0000 0.7749
In 0.5000 0.5000 0.3620
In 0.5000 0.5000 0.6380

Entry 2:
A relaxed structure of RbMg3In9, computed with PBE-GGA.

Computed properties:
Space-group type: No. 12
Density of states at the Fermi level in states/eV/f.u.: 5.634
ΔH_f (0 K) in kcal/mol of atoms: -1.3

Cell: 8.2886 8.2886 8.0727 Å, 97.99 97.99 136.31°
Fractional coordinates of all 13 atoms:
Rb 0.0000 0.0000 0.0000
Mg 0.0000 0.0000 0.5000
Mg 0.0000 0.5000 0.0000
Mg 0.5000 0.0000 0.0000
In 0.0081 0.6517 0.6492
In 0.2722 0.4932 0.7820
In 0.3483 0.9919 0.3508
In 0.4932 0.2722 0.7820
In 0.5000 0.5000 0.5000
In 0.5068 0.7278 0.2180
In 0.6517 0.0081 0.6492
In 0.7278 0.5068 0.2180
In 0.9919 0.3483 0.3508

Entry 3:
A relaxed structure of RbMgIn3, computed with PBE-GGA.

Computed properties:
Energy above the lowest structure with this stoichiometry in kcal/mol of atoms: 0.00
Space-group type: No. 194
Density of states at the Fermi level in states/eV/f.u.: 2.472
ΔH_f (0 K) in kcal/mol of atoms: 0.6

Cell: 7.5719 7.5719 6.4810 Å, 90.00 90.00 120.00°
Fractional coordinates of all 10 atoms:
Rb 0.3333 0.6667 0.2500
Rb 0.6667 0.3333 0.7500
Mg 0.0000 0.0000 0.0000
Mg 0.0000 0.0000 0.5000
In 0.1941 0.3882 0.7500
In 0.1941 0.8059 0.7500
In 0.3882 0.1941 0.2500
In 0.6118 0.8059 0.7500
In 0.8059 0.1941 0.2500
In 0.8059 0.6118 0.2500

Entry 4:
A relaxed structure of RbMgIn3, computed with PBE-GGA.

Computed properties:
Energy above the lowest structure with this stoichiometry in kcal/mol of atoms: 22.29
Space-group type: No. 221
Density of states at the Fermi level in states/eV/f.u.: 6.648
ΔH_f (0 K) in kcal/mol of atoms: 22.9

Cell: 6.2875 6.2875 6.2875 Å, 90.00 90.00 90.00°
Fractional coordinates of all 5 atoms:
Rb 0.0000 0.0000 0.0000
Mg 0.5000 0.5000 0.5000
In 0.0000 0.0000 0.5000
In 0.0000 0.5000 0.0000
In 0.5000 0.0000 0.0000

Entry 5:
A relaxed structure of RbMg2In6, computed with PBE-GGA.

Computed properties:
Energy above the lowest structure with this stoichiometry in kcal/mol of atoms: 6.50
Space-group type: No. 227
Density of states at the Fermi level in states/eV/f.u.: 4.967
ΔH_f (0 K) in kcal/mol of atoms: 6.0

Cell: 9.7064 9.7064 9.7064 Å, 60.00 60.00 60.00°
Fractional coordinates of all 18 atoms:
Rb 0.1250 0.1250 0.1250
Rb 0.8750 0.8750 0.8750
Mg 0.0000 0.5000 0.5000
Mg 0.5000 0.0000 0.5000
Mg 0.5000 0.5000 0.0000
Mg 0.5000 0.5000 0.5000
In 0.1310 0.1310 0.6190
In 0.1310 0.6190 0.1310
In 0.1310 0.6190 0.6190
In 0.3810 0.3810 0.8690
In 0.3810 0.8690 0.3810
In 0.3810 0.8690 0.8690
In 0.6190 0.1310 0.1310
In 0.6190 0.1310 0.6190
In 0.6190 0.6190 0.1310
In 0.8690 0.3810 0.3810
In 0.8690 0.3810 0.8690
In 0.8690 0.8690 0.3810

Entry 6:
A relaxed structure of Rb5MgIn6, computed with PBE-GGA.

Computed properties:
Space-group type: No. 12
Density of states at the Fermi level in states/eV/f.u.: 5.149
ΔH_f (0 K) in kcal/mol of atoms: 2.5

Cell: 7.3388 7.3388 11.2297 Å, 96.14 96.14 119.94°
Fractional coordinates of all 12 atoms:
Rb 0.0000 0.0000 0.0000
Rb 0.1650 0.8350 0.5000
Rb 0.3145 0.6855 0.0000
Rb 0.6855 0.3145 0.0000
Rb 0.8350 0.1650 0.5000
Mg 0.5000 0.5000 0.5000
In 0.1791 0.4289 0.2720
In 0.3269 0.3269 0.7366
In 0.4289 0.1791 0.2720
In 0.5711 0.8209 0.7280
In 0.6731 0.6731 0.2634
In 0.8209 0.5711 0.7280

Entry 7:
A relaxed structure of RbMg2In8, computed with PBE-GGA.

Computed properties:
Energy above the lowest structure with this stoichiometry in kcal/mol of atoms: 3.36
Space-group type: No. 123
Density of states at the Fermi level in states/eV/f.u.: 8.540
ΔH_f (0 K) in kcal/mol of atoms: 3.0

Cell: 6.0472 6.0472 11.2904 Å, 90.00 90.00 90.00°
Fractional coordinates of all 11 atoms:
Rb 0.0000 0.0000 0.0000
Mg 0.0000 0.5000 0.5000
Mg 0.5000 0.0000 0.5000
In 0.2510 0.2510 0.2958
In 0.2510 0.2510 0.7042
In 0.2510 0.7490 0.2958
In 0.2510 0.7490 0.7042
In 0.7490 0.2510 0.2958
In 0.7490 0.2510 0.7042
In 0.7490 0.7490 0.2958
In 0.7490 0.7490 0.7042

Entry 8:
A relaxed structure of RbMg6In12, computed with PBE-GGA.

Computed properties:
Space-group type: No. 166
Density of states at the Fermi level in states/eV/f.u.: 10.294
ΔH_f (0 K) in kcal/mol of atoms: -0.1

Cell: 8.4054 8.4054 8.4054 Å, 103.99 103.99 103.99°
Fractional coordinates of all 19 atoms:
Rb 0.0000 0.0000 0.0000
Mg 0.2933 0.2933 0.7067
Mg 0.2933 0.7067 0.2933
Mg 0.2933 0.7067 0.7067
Mg 0.7067 0.2933 0.2933
Mg 0.7067 0.2933 0.7067
Mg 0.7067 0.7067 0.2933
In 0.1112 0.5000 0.8888
In 0.1112 0.8888 0.5000
In 0.1288 0.3849 0.3849
In 0.3849 0.1288 0.3849
In 0.3849 0.3849 0.1288
In 0.5000 0.1112 0.8888
In 0.5000 0.8888 0.1112
In 0.6151 0.6151 0.8712
In 0.6151 0.8712 0.6151
In 0.8712 0.6151 0.6151
In 0.8888 0.1112 0.5000
In 0.8888 0.5000 0.1112

Entry 9:
A relaxed structure of RbMg3In, computed with PBE-GGA.

Computed properties:
Energy above the lowest structure with this stoichiometry in kcal/mol of atoms: 0.00
Space-group type: No. 221
Density of states at the Fermi level in states/eV/f.u.: 3.641
ΔH_f (0 K) in kcal/mol of atoms: 5.4

Cell: 5.6739 5.6739 5.6739 Å, 90.00 90.00 90.00°
Fractional coordinates of all 5 atoms:
Rb 0.0000 0.0000 0.0000
Mg 0.0000 0.5000 0.5000
Mg 0.5000 0.0000 0.5000
Mg 0.5000 0.5000 0.0000
In 0.5000 0.5000 0.5000

Entry 10:
A relaxed structure of Rb2MgIn7, computed with PBE-GGA.

Computed properties:
Space-group type: No. 115
Density of states at the Fermi level in states/eV/f.u.: 5.932
ΔH_f (0 K) in kcal/mol of atoms: -2.3

Cell: 5.0019 5.0019 12.8067 Å, 90.00 90.00 90.00°
Fractional coordinates of all 10 atoms:
Rb 0.0000 0.5000 0.2484
Rb 0.5000 0.0000 0.7516
Mg 0.0000 0.0000 0.5000
In 0.0000 0.0000 0.0000
In 0.0000 0.5000 0.6330
In 0.0000 0.5000 0.8636
In 0.5000 0.0000 0.1364
In 0.5000 0.0000 0.3670
In 0.5000 0.5000 0.0000
In 0.5000 0.5000 0.5000

Entry 11:
A relaxed structure of RbMg2In9, computed with PBE-GGA.

Computed properties:
Space-group type: No. 141
Density of states at the Fermi level in states/eV/f.u.: 4.313
ΔH_f (0 K) in kcal/mol of atoms: -1.7

Cell: 9.9368 9.9368 9.9368 Å, 100.15 100.15 130.37°
Fractional coordinates of all 24 atoms:
Rb 0.3750 0.6250 0.7500
Rb 0.6250 0.3750 0.2500
Mg 0.0000 0.0000 0.0000
Mg 0.0000 0.0000 0.5000
Mg 0.0000 0.5000 0.0000
Mg 0.5000 0.0000 0.5000
In 0.1250 0.8750 0.2500
In 0.1292 0.5554 0.3295
In 0.1292 0.7997 0.5738
In 0.2003 0.2741 0.3295
In 0.2003 0.8708 0.9262
In 0.2741 0.2003 0.8295
In 0.2741 0.4446 0.0738
In 0.4446 0.2741 0.5738
In 0.4446 0.8708 0.1705
In 0.5554 0.1292 0.8295
In 0.5554 0.7259 0.4262
In 0.7259 0.5554 0.9262
In 0.7259 0.7997 0.1705
In 0.7997 0.1292 0.0738
In 0.7997 0.7259 0.6705
In 0.8708 0.2003 0.4262
In 0.8708 0.4446 0.6705
In 0.8750 0.1250 0.7500

Entry 12:
A relaxed structure of RbMg3In, computed with PBE-GGA.

Computed properties:
Energy above the lowest structure with this stoichiometry in kcal/mol of atoms: 18.65
Space-group type: No. 221
Density of states at the Fermi level in states/eV/f.u.: 6.573
ΔH_f (0 K) in kcal/mol of atoms: 24.0

Cell: 6.4241 6.4241 6.4241 Å, 90.00 90.00 90.00°
Fractional coordinates of all 5 atoms:
Rb 0.0000 0.0000 0.0000
Mg 0.0000 0.0000 0.5000
Mg 0.0000 0.5000 0.0000
Mg 0.5000 0.0000 0.0000
In 0.5000 0.5000 0.5000

Mass density / g/cm³: 5.0; 5.6; 4.7; 3.0; 4.2; 3.7; 4.2; 5.0; 2.5; 5.2; 5.7; 1.7